Cd2Ag5Pd12: relaxed, PBE-GGA.

Output
energy of formation	-45	meV per atom
VASP energy	-4.171	eV/atom
energy above the most stable polymorph in this dataset	0	meV per atom
calculated density	10.6	g/cm³

Cell and atoms, written as extended XYZ:
```
19
Lattice="4.919 -0.065 0.979 1.055 7.541 3.665 -0.001 -0.400 8.441" Properties=species:S:1:pos:R:3 pbc="T T T"
Pd 3.643 4.777 4.237
Pd 4.400 3.004 10.449
Pd 2.331 2.299 8.847
Pd 3.120 0.844 6.603
Pd 4.082 3.896 7.379
Pd 1.892 3.180 5.705
Pd 1.054 0.163 4.986
Pd 0.302 0.961 1.664
Pd 5.672 6.115 11.420
Pd 4.920 6.913 8.098
Pd 2.854 6.232 6.481
Pd 1.574 4.072 2.635
Ag 2.577 1.563 3.168
Ag 4.688 2.369 4.976
Ag 2.460 -0.033 0.490
Ag 3.397 5.513 9.916
Ag 1.286 4.706 8.109
Cd 0.238 1.394 7.362
Cd 0.817 5.747 4.744
```

TlIr2Au: relaxed, PBE-GGA.

Output
energy of formation	611	meV per atom
VASP energy	-5.230	eV/atom
energy above the most stable polymorph in this dataset	226	meV per atom
calculated density	18.9	g/cm³

Cell and atoms, written as extended XYZ:
```
4
Lattice="3.014 0.000 0.000 0.000 3.014 0.000 0.000 0.000 7.596" Properties=species:S:1:pos:R:3 pbc="T T T"
Ir 0.000 0.000 7.521
Ir 0.000 0.000 3.874
Au 1.507 1.507 5.697
Tl 1.507 1.507 1.899
```

Cs2ScIrBr6: relaxed, PBE-GGA.

Output
VASP energy	-3.809	eV/atom
calculated density	5.1	g/cm³

Cell and atoms, written as extended XYZ:
```
10
Lattice="7.678 0.000 0.000 0.000 7.678 0.000 3.839 3.839 5.419" Properties=species:S:1:pos:R:3 pbc="T T T"
Ir 0.000 0.000 0.000
Cs 3.839 7.678 2.709
Cs 7.678 3.839 2.709
Br 3.839 3.839 2.703
Br 1.928 1.928 0.000
Br 5.750 1.928 0.000
Br 7.678 7.678 2.715
Br 1.928 5.750 0.000
Br 5.750 5.750 0.000
Sc 3.839 3.839 0.000
```

Which of these has the highest calculated density? TlIr2Au

Which of these has the highest calculated density? TlIr2Au